Model a:
DFT (PBE) results for a relaxed CdTeSI2 crystal.

Geometry as POSCAR:
```
CdTeSI2
1.0
5.552 0.000 0.000
0.000 5.552 0.000
0.000 0.000 5.427
Cd Te S I
1 1 1 2
direct
0.000 0.000 0.000
0.500 0.500 0.000
0.500 0.500 0.500
0.000 0.500 0.500
0.500 0.000 0.500
```

space group	P4/mmm, No. 123
V	33.46	Å³/atom



Model b:
DFT (PBE) results for a relaxed CdTeSI2 crystal.

Geometry as POSCAR:
```
CdTeSI2
1.0
5.908 0.000 0.000
0.000 5.908 0.000
0.000 0.000 5.783
Cd Te S I
1 1 1 2
direct
0.000 0.000 0.000
0.000 0.000 0.500
0.500 0.500 0.500
0.000 0.500 0.000
0.500 0.000 0.000
```

space group	P4/mmm, No. 123
V	40.37	Å³/atom



Name the most stable of them. model a.